Here is an optimized crystal structure of LaZn2Au from Alexandria. Energies are from PBEsol.

Calculated values
volume: 20.89 Å³ per atom
DFT total energy: -14.17 eV/cell
density of states at the Fermi level: 3.27 states/eV/cell
SG: R3m, No. 160

Cell: 5.542 5.542 5.542 Å, 47.12 47.12 47.12°
Atoms (fractional coordinates):
La 0.000 0.000 0.000
Zn 0.209 0.209 0.209
Zn 0.510 0.510 0.510
Au 0.791 0.791 0.791

Here is an optimized crystal structure of Sr4MnN4 from Alexandria. Energies are from PBEsol.

Calculated values
formation energy without anion corrections: -0.769 eV per atom
volume: 18.92 Å³ per atom
DFT total energy: -232.60 eV/cell
density of states at the Fermi level: 12.58 states/eV/cell
SG: Pnma, No. 62

Cell: 11.488 5.198 11.404 Å, 90.00 90.00 90.00°
Atoms (fractional coordinates):
Sr 0.054 0.250 0.112
Sr 0.091 0.750 0.320
Sr 0.140 0.750 0.665
Sr 0.230 0.250 0.479
Sr 0.270 0.750 0.979
Sr 0.360 0.250 0.165
Sr 0.409 0.250 0.820
Sr 0.446 0.750 0.612
Sr 0.554 0.250 0.388
Sr 0.591 0.750 0.180
Sr 0.640 0.750 0.835
Sr 0.730 0.250 0.021
Sr 0.770 0.750 0.521
Sr 0.860 0.250 0.335
Sr 0.909 0.250 0.680
Sr 0.946 0.750 0.888
Mn 0.134 0.250 0.853
Mn 0.366 0.750 0.353
Mn 0.634 0.250 0.647
Mn 0.866 0.750 0.147
N 0.007 0.750 0.109
N 0.070 0.250 0.335
N 0.177 0.250 0.711
N 0.232 0.250 0.971
N 0.268 0.750 0.471
N 0.323 0.750 0.211
N 0.430 0.750 0.835
N 0.493 0.250 0.609
N 0.507 0.750 0.391
N 0.570 0.250 0.165
N 0.677 0.250 0.789
N 0.732 0.250 0.529
N 0.768 0.750 0.029
N 0.823 0.750 0.289
N 0.930 0.750 0.665
N 0.993 0.250 0.891

Here is an optimized crystal structure of MnSi2Ni from Alexandria. Energies are from PBEsol.

Calculated values
formation energy without anion corrections: -0.563 eV per atom
volume: 11.07 Å³ per atom
DFT total energy: -59.33 eV/cell
density of states at the Fermi level: 3.34 states/eV/cell
SG: P2_1, No. 4

Cell: 4.454 4.448 4.471 Å, 90.00 90.66 90.00°
Atoms (fractional coordinates):
Mn 0.138 0.000 0.391
Mn 0.862 0.500 0.609
Si 0.152 0.804 0.905
Si 0.350 0.487 0.414
Si 0.650 0.987 0.586
Si 0.848 0.304 0.095
Ni 0.359 0.283 0.897
Ni 0.641 0.783 0.103

Here is an optimized crystal structure of CaGaPCl2 from Alexandria. Energies are from PBEsol.

Calculated values
formation energy without anion corrections: -0.520 eV per atom
volume: 30.20 Å³ per atom
DFT total energy: -17.88 eV/cell
density of states at the Fermi level: 1.89 states/eV/cell
SG: P4/mmm, No. 123

Cell: 5.166 5.166 5.659 Å, 90.00 90.00 90.00°
Atoms (fractional coordinates):
Ca 0.000 0.000 0.000
Ga 0.500 0.500 0.500
P 0.000 0.000 0.500
Cl 0.000 0.500 0.000
Cl 0.500 0.000 0.000

Here is an optimized crystal structure of RbBa2BeIr from Alexandria. Energies are from PBEsol.

Calculated values
volume: 35.11 Å³ per atom
DFT total energy: -13.24 eV/cell
density of states at the Fermi level: 4.35 states/eV/cell
SG: P4/mmm, No. 123

Cell: 5.737 5.737 5.334 Å, 90.00 90.00 90.00°
Atoms (fractional coordinates):
Rb 0.000 0.000 0.000
Ba 0.000 0.500 0.500
Ba 0.500 0.000 0.500
Be 0.000 0.000 0.500
Ir 0.500 0.500 0.000

Here is an optimized crystal structure of Sb2W from Alexandria. Energies are from PBEsol.

Calculated values
formation energy without anion corrections: 0.387 eV per atom
volume: 21.99 Å³ per atom
DFT total energy: -21.76 eV/cell
density of states at the Fermi level: 1.87 states/eV/cell
SG: I4/mmm, No. 139

Cell: 6.673 6.673 6.673 Å, 151.86 151.86 40.22°
Atoms (fractional coordinates):
Sb 0.134 0.134 0.000
Sb 0.866 0.866 0.000
W 0.500 0.500 0.000

Here is an optimized crystal structure of AlPWCl2 from Alexandria. Energies are from PBEsol.

Calculated values
formation energy without anion corrections: 0.251 eV per atom
volume: 21.39 Å³ per atom
DFT total energy: -26.45 eV/cell
density of states at the Fermi level: 2.77 states/eV/cell
SG: P4/mmm, No. 123

Cell: 4.753 4.753 4.735 Å, 90.00 90.00 90.00°
Atoms (fractional coordinates):
Al 0.000 0.000 0.000
P 0.500 0.500 0.000
W 0.500 0.500 0.500
Cl 0.000 0.500 0.500
Cl 0.500 0.000 0.500

Here is an optimized crystal structure of Zr2Tc from Alexandria. Energies are from PBEsol.

Calculated values
volume: 18.80 Å³ per atom
DFT total energy: -60.48 eV/cell
density of states at the Fermi level: 4.69 states/eV/cell
SG: Cmcm, No. 63

Cell: 7.288 7.288 4.822 Å, 90.00 90.00 153.87°
Atoms (fractional coordinates):
Zr 0.075 0.925 0.750
Zr 0.228 0.772 0.250
Zr 0.772 0.228 0.750
Zr 0.925 0.075 0.250
Tc 0.421 0.579 0.750
Tc 0.579 0.421 0.250

Here is an optimized crystal structure of Al2SbOs from Alexandria. Energies are from PBEsol.

Calculated values
formation energy without anion corrections: -0.085 eV per atom
volume: 17.71 Å³ per atom
DFT total energy: -25.30 eV/cell
density of states at the Fermi level: 1.95 states/eV/cell
SG: P4/mmm, No. 123

Cell: 3.015 3.015 7.790 Å, 90.00 90.00 90.00°
Atoms (fractional coordinates):
Al 0.000 0.000 0.183
Al 0.000 0.000 0.817
Sb 0.500 0.500 0.500
Os 0.500 0.500 0.000

Here is an optimized crystal structure of Ti3TlSi2P6O25 from Alexandria. Energies are from PBEsol.

Calculated values
formation energy without anion corrections: -2.482 eV per atom
volume: 13.99 Å³ per atom
DFT total energy: -593.84 eV/cell
density of states at the Fermi level: 18.14 states/eV/cell
SG: P-31c, No. 163

Cell: 8.332 8.332 17.223 Å, 90.00 90.00 120.00°
Atoms (fractional coordinates):
Ti 0.333 0.667 0.024
Ti 0.333 0.667 0.476
Ti 0.333 0.667 0.750
Ti 0.667 0.333 0.250
Ti 0.667 0.333 0.524
Ti 0.667 0.333 0.976
Tl 0.333 0.667 0.250
Tl 0.667 0.333 0.750
Si 0.000 0.000 0.093
Si 0.000 0.000 0.407
Si 0.000 0.000 0.593
Si 0.000 0.000 0.907
P 0.051 0.384 0.610
P 0.051 0.667 0.890
P 0.333 0.384 0.890
P 0.333 0.949 0.610
P 0.384 0.051 0.110
P 0.384 0.333 0.390
P 0.616 0.667 0.610
P 0.616 0.949 0.890
P 0.667 0.051 0.390
P 0.667 0.616 0.110
P 0.949 0.333 0.110
P 0.949 0.616 0.390
O 0.000 0.000 0.000
O 0.000 0.000 0.500
O 0.020 0.191 0.126
O 0.020 0.829 0.374
O 0.122 0.519 0.093
O 0.122 0.602 0.407
O 0.136 0.481 0.686
O 0.136 0.656 0.814
O 0.171 0.191 0.374
O 0.171 0.980 0.126
O 0.188 0.446 0.542
O 0.188 0.742 0.958
O 0.191 0.020 0.626
O 0.191 0.171 0.874
O 0.258 0.446 0.958
O 0.258 0.812 0.542
O 0.344 0.481 0.814
O 0.344 0.864 0.686
O 0.398 0.519 0.407
O 0.398 0.878 0.093
O 0.446 0.188 0.042
O 0.446 0.258 0.458
O 0.481 0.136 0.186
O 0.481 0.344 0.314
O 0.481 0.602 0.093
O 0.481 0.878 0.407
O 0.519 0.122 0.593
O 0.519 0.398 0.907
O 0.519 0.656 0.686
O 0.519 0.864 0.814
O 0.554 0.742 0.542
O 0.554 0.812 0.958
O 0.602 0.122 0.907
O 0.602 0.481 0.593
O 0.656 0.136 0.314
O 0.656 0.519 0.186
O 0.742 0.188 0.458
O 0.742 0.554 0.042
O 0.809 0.829 0.126
O 0.809 0.980 0.374
O 0.812 0.258 0.042
O 0.812 0.554 0.458
O 0.829 0.020 0.874
O 0.829 0.809 0.626
O 0.864 0.344 0.186
O 0.864 0.519 0.314
O 0.878 0.398 0.593
O 0.878 0.481 0.907
O 0.980 0.171 0.626
O 0.980 0.809 0.874

Here is an optimized crystal structure of La5Cu19P12 from Alexandria. Energies are from PBEsol.

Calculated values
volume: 14.86 Å³ per atom
DFT total energy: -199.22 eV/cell
density of states at the Fermi level: 9.84 states/eV/cell
SG: P-62m, No. 189

Cell: 12.546 12.546 3.923 Å, 90.00 90.00 120.00°
Atoms (fractional coordinates):
La 0.000 0.808 0.000
La 0.192 0.192 0.000
La 0.333 0.667 0.500
La 0.667 0.333 0.500
La 0.808 0.000 0.000
Cu 0.000 0.000 0.500
Cu 0.000 0.287 0.000
Cu 0.000 0.448 0.500
Cu 0.117 0.635 0.000
Cu 0.174 0.379 0.500
Cu 0.206 0.826 0.500
Cu 0.287 0.000 0.000
Cu 0.365 0.482 0.000
Cu 0.379 0.174 0.500
Cu 0.448 0.000 0.500
Cu 0.482 0.365 0.000
Cu 0.518 0.883 0.000
Cu 0.552 0.552 0.500
Cu 0.621 0.794 0.500
Cu 0.635 0.117 0.000
Cu 0.713 0.713 0.000
Cu 0.794 0.621 0.500
Cu 0.826 0.206 0.500
Cu 0.883 0.518 0.000
P 0.000 0.177 0.500
P 0.000 0.630 0.500
P 0.171 0.479 0.000
P 0.177 0.000 0.500
P 0.308 0.829 0.000
P 0.370 0.370 0.500
P 0.479 0.171 0.000
P 0.521 0.692 0.000
P 0.630 0.000 0.500
P 0.692 0.521 0.000
P 0.823 0.823 0.500
P 0.829 0.308 0.000

Here is an optimized crystal structure of Ce2Ni7 from Alexandria. Energies are from PBEsol.

Calculated values
volume: 13.49 Å³ per atom
DFT total energy: -238.39 eV/cell
density of states at the Fermi level: 45.66 states/eV/cell
SG: P6_3/mmc, No. 194

Cell: 4.827 4.827 24.072 Å, 90.00 90.00 120.00°
Atoms (fractional coordinates):
Ce 0.333 0.667 0.030
Ce 0.333 0.667 0.175
Ce 0.333 0.667 0.325
Ce 0.333 0.667 0.470
Ce 0.667 0.333 0.530
Ce 0.667 0.333 0.675
Ce 0.667 0.333 0.825
Ce 0.667 0.333 0.970
Ni 0.000 0.000 0.000
Ni 0.000 0.000 0.167
Ni 0.000 0.000 0.333
Ni 0.000 0.000 0.500
Ni 0.000 0.000 0.667
Ni 0.000 0.000 0.833
Ni 0.166 0.333 0.750
Ni 0.166 0.834 0.750
Ni 0.167 0.334 0.585
Ni 0.167 0.334 0.915
Ni 0.167 0.833 0.585
Ni 0.167 0.833 0.915
Ni 0.333 0.166 0.250
Ni 0.333 0.667 0.667
Ni 0.333 0.667 0.833
Ni 0.334 0.167 0.085
Ni 0.334 0.167 0.415
Ni 0.666 0.833 0.585
Ni 0.666 0.833 0.915
Ni 0.667 0.333 0.167
Ni 0.667 0.333 0.333
Ni 0.667 0.834 0.750
Ni 0.833 0.167 0.085
Ni 0.833 0.167 0.415
Ni 0.833 0.666 0.085
Ni 0.833 0.666 0.415
Ni 0.834 0.166 0.250
Ni 0.834 0.667 0.250

Here is an optimized crystal structure of KLiCd2 from Alexandria. Energies are from PBEsol.

Calculated values
volume: 26.71 Å³ per atom
DFT total energy: -5.38 eV/cell
density of states at the Fermi level: 1.56 states/eV/cell
SG: Imm2, No. 44

Cell: 6.614 6.614 6.614 Å, 152.14 127.23 60.72°
Atoms (fractional coordinates):
K 0.000 0.000 0.000
Li 0.294 0.794 0.500
Cd 0.503 0.503 0.000
Cd 0.722 0.222 0.500

Here is an optimized crystal structure of Mn2C from Alexandria. Energies are from PBEsol.

Calculated values
volume: 9.37 Å³ per atom
DFT total energy: -87.94 eV/cell
density of states at the Fermi level: 10.38 states/eV/cell
SG: P-31m, No. 162

Cell: 4.728 4.728 4.356 Å, 90.00 90.00 120.00°
Atoms (fractional coordinates):
Mn 0.000 0.344 0.259
Mn 0.000 0.656 0.741
Mn 0.344 0.000 0.259
Mn 0.344 0.344 0.741
Mn 0.656 0.000 0.741
Mn 0.656 0.656 0.259
C 0.000 0.000 0.500
C 0.333 0.667 0.000
C 0.667 0.333 0.000

Here is an optimized crystal structure of K2MgPOs from Alexandria. Energies are from PBEsol.

Calculated values
volume: 33.84 Å³ per atom
DFT total energy: -14.59 eV/cell
density of states at the Fermi level: 4.59 states/eV/cell
SG: P4/mmm, No. 123

Cell: 5.807 5.807 5.018 Å, 90.00 90.00 90.00°
Atoms (fractional coordinates):
K 0.000 0.500 0.000
K 0.500 0.000 0.000
Mg 0.000 0.000 0.500
P 0.500 0.500 0.500
Os 0.000 0.000 0.000

Here is an optimized crystal structure of NaEuAu2 from Alexandria. Energies are from PBEsol.

Calculated values
volume: 22.60 Å³ per atom
DFT total energy: -21.84 eV/cell
density of states at the Fermi level: 11.88 states/eV/cell
SG: Fm-3m, No. 225

Cell: 5.038 5.038 5.038 Å, 60.00 60.00 60.00°
Atoms (fractional coordinates):
Na 0.000 0.000 0.000
Eu 0.500 0.500 0.500
Au 0.250 0.250 0.250
Au 0.750 0.750 0.750

Here is an optimized crystal structure of SbMo2Pt from Alexandria. Energies are from PBEsol.

Calculated values
formation energy without anion corrections: 0.163 eV per atom
volume: 16.68 Å³ per atom
DFT total energy: -34.40 eV/cell
density of states at the Fermi level: 3.65 states/eV/cell
SG: P2/m, No. 10

Cell: 2.855 4.144 5.720 Å, 90.00 99.67 90.00°
Atoms (fractional coordinates):
Sb 0.000 0.000 0.000
Mo 0.423 0.500 0.272
Mo 0.577 0.500 0.728
Pt 0.000 0.000 0.500